#i
Entry from Alexandria via LeMat-Bulk: crystalline Li2FeMo at its relaxed geometry (PBE).

Values from the calculation:
density: 5.7 g/cm³
volume: 12.0 Å³ per atom

CIF file:
```
data_Li2FeMo
_chemical_formula_sum 'Li8 Fe4 Mo4'
_space_group_name_H-M_alt 'F m -3 m'
_space_group_IT_number 225
_space_group_name_Hall '-F 4 2 3'
_cell_length_a 5.766
_cell_length_b 5.766
_cell_length_c 5.766
_cell_angle_alpha 90.00
_cell_angle_beta 90.00
_cell_angle_gamma 90.00
loop_
_atom_site_label
_atom_site_type_symbol
_atom_site_fract_x
_atom_site_fract_y
_atom_site_fract_z
_atom_site_occupancy
Li1 Li 0.250 0.250 0.250 1
Fe1 Fe 0.000 0.000 0.000 1
Mo1 Mo 0.000 0.000 0.500 1
```

---

#ii
Entry from Alexandria via LeMat-Bulk: crystalline Li2FeMo at its relaxed geometry (PBE).

Values from the calculation:
density: 4.6 g/cm³
volume: 14.9 Å³ per atom

CIF file:
```
data_Li2FeMo
_chemical_formula_sum 'Li4 Fe2 Mo2'
_space_group_name_H-M_alt 'C m m 2'
_space_group_IT_number 35
_space_group_name_Hall 'C 2 -2'
_cell_length_a 3.040
_cell_length_b 4.249
_cell_length_c 9.204
_cell_angle_alpha 90.00
_cell_angle_beta 90.00
_cell_angle_gamma 90.00
loop_
_atom_site_label
_atom_site_type_symbol
_atom_site_fract_x
_atom_site_fract_y
_atom_site_fract_z
_atom_site_occupancy
Li1 Li 0.000 0.000 0.000 1
Li2 Li 0.000 0.500 0.280 1
Fe1 Fe 0.000 0.000 0.514 1
Mo1 Mo 0.000 0.500 0.739 1
```

---

The structure with the most favorable energy is #ii; the runner-up is 685 meV per atom above it.

---

#i
Entry from Alexandria via LeMat-Bulk: crystalline Ba2YSc at its relaxed geometry (PBE).

Values from the calculation:
density: 4.1 g/cm³
volume: 41.0 Å³ per atom

CIF file:
```
data_Ba2YSc
_chemical_formula_sum 'Ba2 Y1 Sc1'
_space_group_name_H-M_alt 'P 4/m m m'
_space_group_IT_number 123
_space_group_name_Hall '-P 4 2'
_cell_length_a 6.121
_cell_length_b 6.121
_cell_length_c 4.378
_cell_angle_alpha 90.00
_cell_angle_beta 90.00
_cell_angle_gamma 90.00
loop_
_atom_site_label
_atom_site_type_symbol
_atom_site_fract_x
_atom_site_fract_y
_atom_site_fract_z
_atom_site_occupancy
Ba1 Ba 0.000 0.500 0.000 1
Y1 Y 0.000 0.000 0.500 1
Sc1 Sc 0.500 0.500 0.500 1
```

---

#ii
Entry from Alexandria via LeMat-Bulk: crystalline Ba2YSc at its relaxed geometry (PBE).

Values from the calculation:
density: 4.4 g/cm³
volume: 38.9 Å³ per atom

CIF file:
```
data_Ba2YSc
_chemical_formula_sum 'Ba4 Y2 Sc2'
_space_group_name_H-M_alt 'C 1 2/m 1'
_space_group_IT_number 12
_space_group_name_Hall '-C 2y'
_cell_length_a 12.836
_cell_length_b 3.804
_cell_length_c 6.488
_cell_angle_alpha 90.00
_cell_angle_beta 100.97
_cell_angle_gamma 90.00
loop_
_atom_site_label
_atom_site_type_symbol
_atom_site_fract_x
_atom_site_fract_y
_atom_site_fract_z
_atom_site_occupancy
Ba1 Ba 0.241 0.000 0.242 1
Y1 Y 0.000 0.000 0.500 1
Sc1 Sc 0.000 0.500 0.000 1
```

---

The structure with the most favorable energy is #ii; the runner-up is 46 meV per atom above it.

---

#i
Entry from Alexandria via LeMat-Bulk: crystalline ReAu at its relaxed geometry (PBE).

Values from the calculation:
density: 19.7 g/cm³
volume: 16.2 Å³ per atom

CIF file:
```
data_ReAu
_chemical_formula_sum 'Re2 Au2'
_space_group_name_H-M_alt 'P 63/m m c'
_space_group_IT_number 194
_space_group_name_Hall '-P 6c 2c'
_cell_length_a 2.8039
_cell_length_b 2.8039
_cell_length_c 9.5045
_cell_angle_alpha 90.00
_cell_angle_beta 90.00
_cell_angle_gamma 120.00
loop_
_atom_site_label
_atom_site_type_symbol
_atom_site_fract_x
_atom_site_fract_y
_atom_site_fract_z
_atom_site_occupancy
Re1 Re 0.3333 0.6667 0.2500 1
Au1 Au 0.0000 0.0000 0.0000 1
```

---

#ii
Entry from Alexandria via LeMat-Bulk: crystalline ReAu at its relaxed geometry (PBE).

Values from the calculation:
density: 18.4 g/cm³
volume: 17.3 Å³ per atom

CIF file:
```
data_ReAu
_chemical_formula_sum 'Re4 Au4'
_space_group_name_H-M_alt 'C m c m'
_space_group_IT_number 63
_space_group_name_Hall '-C 2c 2'
_cell_length_a 2.784
_cell_length_b 12.599
_cell_length_c 3.938
_cell_angle_alpha 90.00
_cell_angle_beta 90.00
_cell_angle_gamma 90.00
loop_
_atom_site_label
_atom_site_type_symbol
_atom_site_fract_x
_atom_site_fract_y
_atom_site_fract_z
_atom_site_occupancy
Re1 Re 0.000 0.206 0.250 1
Au1 Au 0.000 0.424 0.250 1
```

---

The structure with the most favorable energy is #ii; the runner-up is 85 meV per atom above it.

---

#i
Entry from Alexandria via LeMat-Bulk: crystalline MnFe3Co at its relaxed geometry (PBE).

Values from the calculation:
density: 8.1 g/cm³
volume: 11.5 Å³ per atom

CIF file:
```
data_MnFe3Co
_chemical_formula_sum 'Mn3 Fe9 Co3'
_space_group_name_H-M_alt 'R 3 m'
_space_group_IT_number 160
_space_group_name_Hall 'R 3 -2"'
_cell_length_a 4.0140
_cell_length_b 4.0140
_cell_length_c 12.3355
_cell_angle_alpha 90.00
_cell_angle_beta 90.00
_cell_angle_gamma 120.00
loop_
_atom_site_label
_atom_site_type_symbol
_atom_site_fract_x
_atom_site_fract_y
_atom_site_fract_z
_atom_site_occupancy
Mn1 Mn 0.0000 0.0000 0.0000 1
Fe1 Fe 0.0000 0.0000 0.2012 1
Fe2 Fe 0.0000 0.0000 0.4012 1
Fe3 Fe 0.0000 0.0000 0.7973 1
Co1 Co 0.0000 0.0000 0.5992 1
```

---

#ii
Entry from Alexandria via LeMat-Bulk: crystalline MnFe3Co at its relaxed geometry (PBE).

Values from the calculation:
density: 6.6 g/cm³
volume: 14.2 Å³ per atom

CIF file:
```
data_MnFe3Co
_chemical_formula_sum 'Mn1 Fe3 Co1'
_space_group_name_H-M_alt 'P m -3 m'
_space_group_IT_number 221
_space_group_name_Hall '-P 4 2 3'
_cell_length_a 4.136
_cell_length_b 4.136
_cell_length_c 4.136
_cell_angle_alpha 90.00
_cell_angle_beta 90.00
_cell_angle_gamma 90.00
loop_
_atom_site_label
_atom_site_type_symbol
_atom_site_fract_x
_atom_site_fract_y
_atom_site_fract_z
_atom_site_occupancy
Mn1 Mn 0.000 0.000 0.000 1
Fe1 Fe 0.000 0.000 0.500 1
Co1 Co 0.500 0.500 0.500 1
```

---

The structure with the most favorable energy is #i; the runner-up is 1225 meV per atom above it.

---

#i
Entry from Alexandria via LeMat-Bulk: crystalline Li2ScMn at its relaxed geometry (PBE).

Values from the calculation:
density: 2.6 g/cm³
volume: 17.9 Å³ per atom

CIF file:
```
data_Li2ScMn
_chemical_formula_sum 'Li2 Sc1 Mn1'
_space_group_name_H-M_alt 'P 1 2/m 1'
_space_group_IT_number 10
_space_group_name_Hall '-P 2y'
_cell_length_a 2.938
_cell_length_b 5.052
_cell_length_c 4.865
_cell_angle_alpha 90.00
_cell_angle_beta 96.17
_cell_angle_gamma 90.00
loop_
_atom_site_label
_atom_site_type_symbol
_atom_site_fract_x
_atom_site_fract_y
_atom_site_fract_z
_atom_site_occupancy
Li1 Li 0.225 0.000 0.271 1
Sc1 Sc 0.500 0.500 0.000 1
Mn1 Mn 0.000 0.500 0.500 1
```

---

#ii
Entry from Alexandria via LeMat-Bulk: crystalline Li2ScMn at its relaxed geometry (PBE).

Values from the calculation:
density: 2.6 g/cm³
volume: 18.1 Å³ per atom

CIF file:
```
data_Li2ScMn
_chemical_formula_sum 'Li4 Sc2 Mn2'
_space_group_name_H-M_alt 'C m m m'
_space_group_IT_number 65
_space_group_name_Hall '-C 2 2'
_cell_length_a 5.238
_cell_length_b 9.202
_cell_length_c 3.010
_cell_angle_alpha 90.00
_cell_angle_beta 90.00
_cell_angle_gamma 90.00
loop_
_atom_site_label
_atom_site_type_symbol
_atom_site_fract_x
_atom_site_fract_y
_atom_site_fract_z
_atom_site_occupancy
Li1 Li 0.250 0.250 0.000 1
Sc1 Sc 0.000 0.000 0.500 1
Mn1 Mn 0.000 0.500 0.500 1
```

---

The structure with the most favorable energy is #i; the runner-up is 93 meV per atom above it.